No. 1
# CePm2Zn2In2 PBE optimized geometry
data_CePm2Zn2In2
_chemical_formula_sum 'Ce3 Pm6 Zn6 In6'
_space_group_name_H-M_alt 'R -3 m'
_space_group_IT_number 166
_space_group_name_Hall '-R 3 2"'
_cell_length_a 4.7843
_cell_length_b 4.7843
_cell_length_c 27.7430
_cell_angle_alpha 90.00
_cell_angle_beta 90.00
_cell_angle_gamma 120.00
loop_
_atom_site_label
_atom_site_fract_x
_atom_site_fract_y
_atom_site_fract_z
_atom_site_occupancy
Ce1 0.0000 0.0000 0.0000 1
Pm1 0.0000 0.0000 0.1271 1
Zn1 0.0000 0.0000 0.3955 1
In1 0.0000 0.0000 0.2648 1
# Magnetic moment: 1.149 μB per formula unit
# Uncorrected energy: -3.611 eV/atom
# Formation energy: -0.26 eV per atom

=====

No. 2
# CePmZrIn PBE optimized geometry
data_CePmZrIn
_chemical_formula_sum 'Ce4 Pm4 Zr4 In4'
_space_group_name_H-M_alt 'F -4 3 m'
_space_group_IT_number 216
_space_group_name_Hall 'F -4 2 3'
_cell_length_a 7.477
_cell_length_b 7.477
_cell_length_c 7.477
_cell_angle_alpha 90.00
_cell_angle_beta 90.00
_cell_angle_gamma 90.00
loop_
_atom_site_label
_atom_site_fract_x
_atom_site_fract_y
_atom_site_fract_z
_atom_site_occupancy
Ce1 0.000 0.000 0.000 1
Pm1 0.250 0.250 0.750 1
Zr1 0.250 0.250 0.250 1
In1 0.000 0.000 0.500 1
# Magnetic moment: 0.323 μB per formula unit
# Uncorrected energy: -5.523 eV/atom
# Formation energy: -0.03 eV per atom

=====

No. 3
# CePr2In4 PBE optimized geometry
data_CePr2In4
_chemical_formula_sum 'Ce2 Pr4 In8'
_space_group_name_H-M_alt 'I 4/m m m'
_space_group_IT_number 139
_space_group_name_Hall '-I 4 2'
_cell_length_a 5.472
_cell_length_b 5.472
_cell_length_c 14.695
_cell_angle_alpha 90.00
_cell_angle_beta 90.00
_cell_angle_gamma 90.00
loop_
_atom_site_label
_atom_site_fract_x
_atom_site_fract_y
_atom_site_fract_z
_atom_site_occupancy
Ce1 0.000 0.000 0.000 1
Pr1 0.000 0.000 0.256 1
In1 0.000 0.500 0.113 1
# Magnetic moment: 0.865 μB per formula unit
# Uncorrected energy: -4.046 eV/atom
# Formation energy: -0.27 eV per atom
# Energy above the most stable polymorph in this dataset: 0.000 eV/atom

=====

No. 4
# CePr6In PBE optimized geometry
data_CePr6In
_chemical_formula_sum 'Ce1 Pr6 In1'
_space_group_name_H-M_alt 'P 4/m m m'
_space_group_IT_number 123
_space_group_name_Hall '-P 4 2'
_cell_length_a 5.056
_cell_length_b 5.056
_cell_length_c 10.391
_cell_angle_alpha 90.00
_cell_angle_beta 90.00
_cell_angle_gamma 90.00
loop_
_atom_site_label
_atom_site_fract_x
_atom_site_fract_y
_atom_site_fract_z
_atom_site_occupancy
Ce1 0.000 0.000 0.000 1
Pr1 0.000 0.500 0.255 1
Pr2 0.500 0.500 0.000 1
Pr3 0.500 0.500 0.500 1
In1 0.000 0.000 0.500 1
# Magnetic moment: 0.982 μB per formula unit
# Uncorrected energy: -4.754 eV/atom
# Formation energy: -0.09 eV per atom

=====

No. 5
# CePr4In2 PBE optimized geometry
data_CePr4In2
_chemical_formula_sum 'Ce4 Pr16 In8'
_space_group_name_H-M_alt 'C m c m'
_space_group_IT_number 63
_space_group_name_Hall '-C 2c 2'
_cell_length_a 9.329
_cell_length_b 14.949
_cell_length_c 6.479
_cell_angle_alpha 90.00
_cell_angle_beta 90.00
_cell_angle_gamma 90.00
loop_
_atom_site_label
_atom_site_fract_x
_atom_site_fract_y
_atom_site_fract_z
_atom_site_occupancy
Ce1 0.000 0.130 0.250 1
Pr1 0.177 0.268 0.750 1
Pr2 0.205 0.500 0.000 1
In1 0.000 0.080 0.750 1
In2 0.000 0.343 0.250 1
# Magnetic moment: 0.693 μB per formula unit
# Uncorrected energy: -4.537 eV/atom
# Formation energy: -0.18 eV per atom
# Energy above the most stable polymorph in this dataset: 0.000 eV/atom

=====

No. 6
# Ce3PrIn4 PBE optimized geometry
data_Ce3PrIn4
_chemical_formula_sum 'Ce3 Pr1 In4'
_space_group_name_H-M_alt 'P m m m'
_space_group_IT_number 47
_cell_length_a 3.290
_cell_length_b 5.881
_cell_length_c 11.760
_cell_angle_alpha 90.00
_cell_angle_beta 90.00
_cell_angle_gamma 90.00
loop_
_space_group_symop_operation_xyz
'x,y,z'
'-x,-y,-z'
'-x,-y,z'
'x,y,-z'
'x,-y,-z'
'-x,y,z'
'-x,y,-z'
'x,-y,z'
loop_
_atom_site_label
_atom_site_fract_x
_atom_site_fract_y
_atom_site_fract_z
_atom_site_occupancy
Ce1 0.000 0.000 0.000 1
Ce2 0.000 0.500 0.250 1
Pr1 0.000 0.000 0.500 1
In1 0.500 0.000 0.248 1
In2 0.500 0.500 0.000 1
In3 0.500 0.500 0.500 1
# Magnetic moment: 3.898 μB per formula unit
# Uncorrected energy: -4.546 eV/atom
# Formation energy: -0.35 eV per atom

=====

No. 7
# Ce2PrIn PBE optimized geometry
data_Ce2PrIn
_chemical_formula_sum 'Ce8 Pr4 In4'
_space_group_name_H-M_alt 'F m -3 m'
_space_group_IT_number 225
_space_group_name_Hall '-F 4 2 3'
_cell_length_a 7.829
_cell_length_b 7.829
_cell_length_c 7.829
_cell_angle_alpha 90.00
_cell_angle_beta 90.00
_cell_angle_gamma 90.00
loop_
_atom_site_label
_atom_site_fract_x
_atom_site_fract_y
_atom_site_fract_z
_atom_site_occupancy
Ce1 0.250 0.250 0.250 1
Pr1 0.000 0.000 0.000 1
In1 0.000 0.000 0.500 1
# Magnetic moment: 2.793 μB per formula unit
# Uncorrected energy: -4.863 eV/atom
# Formation energy: -0.02 eV per atom
# Energy above the most stable polymorph in this dataset: 0.183 eV/atom

=====

No. 8
# CePr4In3 PBE optimized geometry
data_CePr4In3
_chemical_formula_sum 'Ce2 Pr8 In6'
_space_group_name_H-M_alt 'C 1 2/m 1'
_space_group_IT_number 12
_cell_length_a 26.527
_cell_length_b 3.795
_cell_length_c 5.405
_cell_angle_alpha 90.00
_cell_angle_beta 90.39
_cell_angle_gamma 90.00
loop_
_space_group_symop_operation_xyz
'x,y,z'
'-x,-y,-z'
'-x,y,-z'
'x,-y,z'
'x+1/2,y+1/2,z'
'-x+1/2,-y+1/2,-z'
'-x+1/2,y+1/2,-z'
'x+1/2,-y+1/2,z'
loop_
_atom_site_label
_atom_site_fract_x
_atom_site_fract_y
_atom_site_fract_z
_atom_site_occupancy
Ce1 0.000 0.000 0.000 1
Pr1 0.100 0.000 0.495 1
Pr2 0.192 0.000 0.998 1
In1 0.000 0.500 0.500 1
In2 0.206 0.500 0.499 1
# Magnetic moment: 2.196 μB per formula unit
# Uncorrected energy: -4.287 eV/atom
# Formation energy: -0.13 eV per atom

=====

No. 9
# Ce2PrIn PBE optimized geometry
data_Ce2PrIn
_chemical_formula_sum 'Ce4 Pr2 In2'
_space_group_name_H-M_alt 'P 1 21/m 1'
_space_group_IT_number 11
_cell_length_a 4.676
_cell_length_b 4.342
_cell_length_c 11.776
_cell_angle_alpha 90.00
_cell_angle_beta 98.85
_cell_angle_gamma 90.00
loop_
_space_group_symop_operation_xyz
'x,y,z'
'-x,-y,-z'
'-x,y+1/2,-z'
'x,-y+1/2,z'
loop_
_atom_site_label
_atom_site_fract_x
_atom_site_fract_y
_atom_site_fract_z
_atom_site_occupancy
Ce1 0.001 0.250 0.392 1
Ce2 0.384 0.750 0.386 1
Pr1 0.299 0.250 0.105 1
In1 0.177 0.250 0.817 1
# Magnetic moment: 0.292 μB per formula unit
# Uncorrected energy: -5.046 eV/atom
# Formation energy: -0.20 eV per atom
# Energy above the most stable polymorph in this dataset: 0.000 eV/atom

=====

No. 10
# CePr2In PBE optimized geometry
data_CePr2In
_chemical_formula_sum 'Ce4 Pr8 In4'
_space_group_name_H-M_alt 'F m -3 m'
_space_group_IT_number 225
_space_group_name_Hall '-F 4 2 3'
_cell_length_a 7.870
_cell_length_b 7.870
_cell_length_c 7.870
_cell_angle_alpha 90.00
_cell_angle_beta 90.00
_cell_angle_gamma 90.00
loop_
_atom_site_label
_atom_site_fract_x
_atom_site_fract_y
_atom_site_fract_z
_atom_site_occupancy
Ce1 0.000 0.000 0.000 1
Pr1 0.250 0.250 0.250 1
In1 0.000 0.000 0.500 1
# Magnetic moment: 0.310 μB per formula unit
# Uncorrected energy: -4.645 eV/atom
# Formation energy: -0.09 eV per atom
# Energy above the most stable polymorph in this dataset: 0.135 eV/atom

=====

No. 11
# CePr5In6 PBE optimized geometry
data_CePr5In6
_chemical_formula_sum 'Ce2 Pr10 In12'
_space_group_name_H-M_alt 'I m m m'
_space_group_IT_number 71
_space_group_name_Hall '-I 2 2'
_cell_length_a 5.512
_cell_length_b 7.805
_cell_length_c 16.547
_cell_angle_alpha 90.00
_cell_angle_beta 90.00
_cell_angle_gamma 90.00
loop_
_atom_site_label
_atom_site_fract_x
_atom_site_fract_y
_atom_site_fract_z
_atom_site_occupancy
Ce1 0.000 0.000 0.000 1
Pr1 0.000 0.000 0.333 1
Pr2 0.000 0.500 0.000 1
Pr3 0.000 0.500 0.334 1
In1 0.000 0.249 0.500 1
In2 0.000 0.250 0.167 1
# Magnetic moment: 1.024 μB per formula unit
# Uncorrected energy: -4.317 eV/atom
# Formation energy: -0.46 eV per atom

=====

No. 12
# CePr3In2 PBE optimized geometry
data_CePr3In2
_chemical_formula_sum 'Ce1 Pr3 In2'
_space_group_name_H-M_alt 'P m m 2'
_space_group_IT_number 25
_cell_length_a 3.348
_cell_length_b 5.414
_cell_length_c 9.592
_cell_angle_alpha 90.00
_cell_angle_beta 90.00
_cell_angle_gamma 90.00
loop_
_space_group_symop_operation_xyz
'x,y,z'
'-x,-y,z'
'-x,y,z'
'x,-y,z'
loop_
_atom_site_label
_atom_site_fract_x
_atom_site_fract_y
_atom_site_fract_z
_atom_site_occupancy
Ce1 0.000 0.000 0.000 1
Pr1 0.000 0.000 0.315 1
Pr2 0.000 0.500 0.507 1
Pr3 0.000 0.500 0.840 1
In1 0.500 0.000 0.668 1
In2 0.500 0.500 0.164 1
# Magnetic moment: 1.488 μB per formula unit
# Uncorrected energy: -4.432 eV/atom
# Formation energy: -0.14 eV per atom

=====

No. 13
# CePr4In5 PBE optimized geometry
data_CePr4In5
_chemical_formula_sum 'Ce1 Pr4 In5'
_space_group_name_H-M_alt 'P 4/m m m'
_space_group_IT_number 123
_space_group_name_Hall '-P 4 2'
_cell_length_a 3.891
_cell_length_b 3.891
_cell_length_c 19.577
_cell_angle_alpha 90.00
_cell_angle_beta 90.00
_cell_angle_gamma 90.00
loop_
_atom_site_label
_atom_site_fract_x
_atom_site_fract_y
_atom_site_fract_z
_atom_site_occupancy
Ce1 0.000 0.000 0.000 1
Pr1 0.000 0.000 0.199 1
Pr2 0.000 0.000 0.399 1
In1 0.500 0.500 0.099 1
In2 0.500 0.500 0.299 1
In3 0.500 0.500 0.500 1
# Magnetic moment: 1.014 μB per formula unit
# Uncorrected energy: -4.330 eV/atom
# Formation energy: -0.46 eV per atom

=====

No. 14
# CePr3In4 PBE optimized geometry
data_CePr3In4
_chemical_formula_sum 'Ce1 Pr3 In4'
_space_group_name_H-M_alt 'P 4/m m m'
_space_group_IT_number 123
_space_group_name_Hall '-P 4 2'
_cell_length_a 3.885
_cell_length_b 3.885
_cell_length_c 15.678
_cell_angle_alpha 90.00
_cell_angle_beta 90.00
_cell_angle_gamma 90.00
loop_
_atom_site_label
_atom_site_fract_x
_atom_site_fract_y
_atom_site_fract_z
_atom_site_occupancy
Ce1 0.000 0.000 0.000 1
Pr1 0.000 0.000 0.249 1
Pr2 0.000 0.000 0.500 1
In1 0.500 0.500 0.124 1
In2 0.500 0.500 0.374 1
# Magnetic moment: 0.948 μB per formula unit
# Uncorrected energy: -4.350 eV/atom
# Formation energy: -0.45 eV per atom
# Energy above the most stable polymorph in this dataset: 0.000 eV/atom

=====

No. 15
# CePr2In3 PBE optimized geometry
data_CePr2In3
_chemical_formula_sum 'Ce4 Pr8 In12'
_space_group_name_H-M_alt 'C 1 2/m 1'
_space_group_IT_number 12
_cell_length_a 5.499
_cell_length_b 16.507
_cell_length_c 7.802
_cell_angle_alpha 90.00
_cell_angle_beta 90.01
_cell_angle_gamma 90.00
loop_
_space_group_symop_operation_xyz
'x,y,z'
'-x,-y,-z'
'-x,y,-z'
'x,-y,z'
'x+1/2,y+1/2,z'
'-x+1/2,-y+1/2,-z'
'-x+1/2,y+1/2,-z'
'x+1/2,-y+1/2,z'
loop_
_atom_site_label
_atom_site_fract_x
_atom_site_fract_y
_atom_site_fract_z
_atom_site_occupancy
Ce1 0.000 0.167 0.000 1
Pr1 0.000 0.167 0.500 1
Pr2 0.000 0.500 0.000 1
Pr3 0.000 0.500 0.500 1
In1 0.000 0.334 0.250 1
In2 0.001 0.000 0.249 1
# Magnetic moment: 1.011 μB per formula unit
# Uncorrected energy: -4.381 eV/atom
# Formation energy: -0.43 eV per atom
# Energy above the most stable polymorph in this dataset: 0.000 eV/atom

=====

No. 16
# CePr6In5 PBE optimized geometry
data_CePr6In5
_chemical_formula_sum 'Ce2 Pr12 In10'
_space_group_name_H-M_alt 'I m m m'
_space_group_IT_number 71
_space_group_name_Hall '-I 2 2'
_cell_length_a 5.163
_cell_length_b 8.984
_cell_length_c 15.638
_cell_angle_alpha 90.00
_cell_angle_beta 90.00
_cell_angle_gamma 90.00
loop_
_atom_site_label
_atom_site_fract_x
_atom_site_fract_y
_atom_site_fract_z
_atom_site_occupancy
Ce1 0.000 0.000 0.000 1
Pr1 0.000 0.236 0.500 1
Pr2 0.000 0.257 0.171 1
In1 0.000 0.000 0.330 1
In2 0.000 0.500 0.000 1
In3 0.000 0.500 0.346 1
# Magnetic moment: 1.699 μB per formula unit
# Uncorrected energy: -4.398 eV/atom
# Formation energy: -0.37 eV per atom

=====

No. 17
# CePr8In6 PBE optimized geometry
data_CePr8In6
_chemical_formula_sum 'Ce3 Pr24 In18'
_space_group_name_H-M_alt 'R -3'
_space_group_IT_number 148
_space_group_name_Hall '-R 3'
_cell_length_a 9.3309
_cell_length_b 9.3309
_cell_length_c 20.0805
_cell_angle_alpha 90.00
_cell_angle_beta 90.00
_cell_angle_gamma 120.00
loop_
_atom_site_label
_atom_site_fract_x
_atom_site_fract_y
_atom_site_fract_z
_atom_site_occupancy
Ce1 0.0000 0.0000 0.0000 1
Pr1 0.0000 0.0000 0.3323 1
Pr2 0.0015 0.3309 0.1161 1
In1 0.0003 0.3334 0.6129 1
# Magnetic moment: 1.037 μB per formula unit
# Uncorrected energy: -4.267 eV/atom
# Formation energy: -0.23 eV per atom

=====

No. 18
# CePr3In4 PBE optimized geometry
data_CePr3In4
_chemical_formula_sum 'Ce2 Pr6 In8'
_space_group_name_H-M_alt 'I m m m'
_space_group_IT_number 71
_space_group_name_Hall '-I 2 2'
_cell_length_a 3.603
_cell_length_b 7.399
_cell_length_c 19.164
_cell_angle_alpha 90.00
_cell_angle_beta 90.00
_cell_angle_gamma 90.00
loop_
_atom_site_label
_atom_site_fract_x
_atom_site_fract_y
_atom_site_fract_z
_atom_site_occupancy
Ce1 0.000 0.000 0.000 1
Pr1 0.000 0.000 0.500 1
Pr2 0.000 0.500 0.284 1
In1 0.000 0.294 0.127 1
# Magnetic moment: 1.659 μB per formula unit
# Uncorrected energy: -4.167 eV/atom
# Formation energy: -0.26 eV per atom
# Energy above the most stable polymorph in this dataset: 0.183 eV/atom

=====

No. 19
# CePr2In4 PBE optimized geometry
data_CePr2In4
_chemical_formula_sum 'Ce2 Pr4 In8'
_space_group_name_H-M_alt 'I 4/m m m'
_space_group_IT_number 139
_space_group_name_Hall '-I 4 2'
_cell_length_a 5.816
_cell_length_b 5.816
_cell_length_c 16.135
_cell_angle_alpha 90.00
_cell_angle_beta 90.00
_cell_angle_gamma 90.00
loop_
_atom_site_label
_atom_site_fract_x
_atom_site_fract_y
_atom_site_fract_z
_atom_site_occupancy
Ce1 0.000 0.000 0.000 1
Pr1 0.000 0.000 0.394 1
In1 0.000 0.000 0.191 1
In2 0.000 0.500 0.000 1
# Magnetic moment: 1.728 μB per formula unit
# Uncorrected energy: -3.549 eV/atom
# Formation energy: 0.23 eV per atom
# Energy above the most stable polymorph in this dataset: 0.497 eV/atom

=====

No. 20
# CePr2In2 PBE optimized geometry
data_CePr2In2
_chemical_formula_sum 'Ce2 Pr4 In4'
_space_group_name_H-M_alt 'I m m m'
_space_group_IT_number 71
_space_group_name_Hall '-I 2 2'
_cell_length_a 5.073
_cell_length_b 7.241
_cell_length_c 8.530
_cell_angle_alpha 90.00
_cell_angle_beta 90.00
_cell_angle_gamma 90.00
loop_
_atom_site_label
_atom_site_fract_x
_atom_site_fract_y
_atom_site_fract_z
_atom_site_occupancy
Ce1 0.000 0.000 0.000 1
Pr1 0.000 0.500 0.197 1
In1 0.000 0.206 0.500 1
# Magnetic moment: 0.718 μB per formula unit
# Uncorrected energy: -4.514 eV/atom
# Formation energy: -0.32 eV per atom